A plane-wave DFT calculation with PBE was carried out for crystalline Tc2Bi4Au at its relaxed geometry.

Cell and atoms, written as POSCAR:
```
Tc2Bi4Au
1.0
-4.7801 4.7801 2.3397
4.7801 -4.7801 2.3397
4.7801 4.7801 -2.3397
Tc Bi Au
2 4 1
Cartesian
4.7801 0.0000 1.1698
0.0000 4.7801 1.1698
2.2407 0.0000 0.0000
7.3196 0.0000 0.0000
0.0000 2.2407 0.0000
0.0000 7.3196 0.0000
0.0000 0.0000 2.3397
```

space-group type: I4/mmm
DFT total energy: -35.91 eV per cell

=====

A plane-wave DFT calculation with PBE was carried out for crystalline ReC at its relaxed geometry.

Cell and atoms, written as POSCAR:
```
ReC
1.0
3.4857 0.0000 0.0000
-1.7428 3.0187 0.0000
0.0000 0.0000 17.8961
Re C
8 8
Cartesian
0.0000 0.0000 0.0000
0.0000 0.0000 8.9481
0.0000 2.0124 2.2523
0.0000 2.0124 6.6885
0.0000 2.0124 13.5673
1.7428 1.0062 4.6192
1.7428 1.0062 11.2003
1.7428 1.0062 15.6366
0.0000 0.0000 2.0953
0.0000 0.0000 11.0434
0.0000 2.0124 4.3622
0.0000 2.0124 8.8088
0.0000 2.0124 15.6300
1.7428 1.0062 6.6820
1.7428 1.0062 13.3102
1.7428 1.0062 17.7569
```

space-group type: P6_3mc
relative energy among the computed polymorphs: 0.339 eV per atom
DFT total energy: -163.76 eV per cell

=====

A plane-wave DFT calculation with PBE was carried out for crystalline TmIrAu at its relaxed geometry.

Cell and atoms, written as POSCAR:
```
TmIrAu
1.0
0.0000 3.2224 3.2224
3.2224 0.0000 3.2224
3.2224 3.2224 0.0000
Tm Ir Au
1 1 1
Cartesian
0.0000 0.0000 0.0000
1.6112 1.6112 1.6112
3.2224 3.2224 3.2224
```

space-group type: F-43m
relative energy among the computed polymorphs: 0.034 eV per atom
energy of formation from the pure elements: -0.354 eV/atom
DFT total energy: -17.66 eV per cell

=====

A plane-wave DFT calculation with PBE was carried out for crystalline CsRbIr at its relaxed geometry.

Cell and atoms, written as POSCAR:
```
CsRbIr
1.0
0.0000 4.0164 4.0164
4.0164 0.0000 4.0164
4.0164 4.0164 0.0000
Cs Rb Ir
1 1 1
Cartesian
0.0000 0.0000 0.0000
2.0082 2.0082 2.0082
4.0164 4.0164 4.0164
```

space-group type: F-43m
relative energy among the computed polymorphs: 0.000 eV per atom
DFT total energy: -7.10 eV per cell

=====

A plane-wave DFT calculation with PBE was carried out for crystalline GdInNO at its relaxed geometry.

Cell and atoms, written as POSCAR:
```
GdInNO
1.0
3.8590 0.0000 0.0000
0.0000 6.4340 0.0000
0.0000 0.0000 5.8433
Gd In N O
2 2 2 2
Cartesian
0.0000 1.1490 0.0000
0.0000 5.2850 2.9216
1.9295 2.0424 2.8690
1.9295 4.3916 5.7907
0.0000 1.0297 2.2727
0.0000 5.4043 5.1943
1.9295 2.1163 5.2285
1.9295 4.3178 2.3069
```

space-group type: Pmc2_1
relative energy among the computed polymorphs: 0.189 eV per atom
DFT total energy: -51.48 eV per cell

=====

A plane-wave DFT calculation with PBE was carried out for crystalline Hf3PN at its relaxed geometry.

Cell and atoms, written as POSCAR:
```
Hf3PN
1.0
1.6891 -5.4884 0.0000
1.6891 5.4884 0.0000
0.0000 0.0000 8.3287
Hf P N
6 2 2
Cartesian
1.6891 4.7990 6.2465
1.6891 1.4873 4.6545
1.6891 1.4873 7.8385
1.6891 -1.4873 0.4902
1.6891 -1.4873 3.6741
1.6891 -4.7990 2.0822
1.6891 2.6650 2.0822
1.6891 -2.6650 6.2465
0.0000 0.0000 0.0000
0.0000 0.0000 4.1643
```

space-group type: Cmcm
DFT total energy: -100.79 eV per cell

=====

A plane-wave DFT calculation with PBE was carried out for crystalline SbPt9 at its relaxed geometry.

Cell and atoms, written as POSCAR:
```
SbPt9
1.0
2.8720 0.0000 0.0000
0.0000 2.8720 0.0000
0.0000 0.0000 50.5180
Sb Pt
2 18
Cartesian
0.7180 0.7180 7.0355
2.1540 2.1540 43.4825
0.7180 0.7180 11.0476
0.7180 0.7180 14.8627
0.7180 0.7180 18.6531
0.7180 0.7180 22.4308
0.7180 0.7180 26.1990
0.7180 0.7180 29.9750
0.7180 0.7180 33.7622
0.7180 0.7180 37.5576
0.7180 0.7180 41.4756
2.1540 2.1540 9.0425
2.1540 2.1540 12.9605
2.1540 2.1540 16.7559
2.1540 2.1540 20.5430
2.1540 2.1540 24.3190
2.1540 2.1540 28.0873
2.1540 2.1540 31.8649
2.1540 2.1540 35.6554
2.1540 2.1540 39.4704
```

space-group type: P4/nmm
relative energy among the computed polymorphs: 0.052 eV per atom
DFT total energy: -116.67 eV per cell

=====

A plane-wave DFT calculation with PBE was carried out for crystalline MgGaGeIr at its relaxed geometry.

Cell and atoms, written as POSCAR:
```
MgGaGeIr
1.0
0.0000 3.2035 3.2035
3.2035 0.0000 3.2035
3.2035 3.2035 0.0000
Mg Ga Ge Ir
1 1 1 1
Cartesian
0.0000 0.0000 0.0000
3.2035 3.2035 3.2035
1.6017 1.6017 1.6017
4.8052 4.8052 4.8052
```

space-group type: F-43m
relative energy among the computed polymorphs: 0.137 eV per atom
DFT total energy: -18.22 eV per cell